1.
Entry from OQMD: a relaxed structure of ErZnIn (PBE-GGA).

abc: 7.195 4.649 8.009
angles: 90.00 90.00 90.00
Positions (direct):
Er: 0.002 0.250 0.225
Er: 0.498 0.750 0.725
Er: 0.502 0.250 0.275
Er: 0.998 0.750 0.775
Zn: 0.201 0.750 0.417
Zn: 0.299 0.250 0.917
Zn: 0.701 0.750 0.083
Zn: 0.799 0.250 0.583
In: 0.222 0.250 0.587
In: 0.278 0.750 0.087
In: 0.722 0.250 0.913
In: 0.778 0.750 0.413

Computed properties:
crystal system	orthorhombic
space group	Pnma (62)
calculated total energy	-3.265	eV/atom
M_tot	0.281	Bohr magnetons per cell

2.
Entry from OQMD: a relaxed structure of GdPdNO (PBE-GGA).

abc: 4.839 4.839 4.515
angles: 90.00 90.00 90.00
Positions (direct):
Gd: 0.250 0.750 0.000
Gd: 0.750 0.250 0.000
Pd: 0.250 0.250 0.499
Pd: 0.750 0.750 0.501
N: 0.250 0.250 0.999
N: 0.750 0.750 0.001
O: 0.250 0.750 0.500
O: 0.750 0.250 0.500

Computed properties:
crystal system	tetragonal
space group	P4/nmm (129)
M_tot	0.001	Bohr magnetons per cell
energy above the most stable polymorph in this dataset	1.24	eV/f.u.

3.
Entry from OQMD: a relaxed structure of La4MgCo (PBE-GGA).

abc: 9.986 9.986 9.986
angles: 60.00 60.00 60.00
Positions (direct):
La: 0.188 0.188 0.812
La: 0.188 0.812 0.188
La: 0.188 0.812 0.812
La: 0.345 0.345 0.345
La: 0.345 0.345 0.966
La: 0.345 0.966 0.345
La: 0.561 0.561 0.939
La: 0.561 0.939 0.561
La: 0.561 0.939 0.939
La: 0.812 0.188 0.188
La: 0.812 0.188 0.812
La: 0.812 0.812 0.188
La: 0.939 0.561 0.561
La: 0.939 0.561 0.939
La: 0.939 0.939 0.561
La: 0.966 0.345 0.345
Mg: 0.265 0.578 0.578
Mg: 0.578 0.265 0.578
Mg: 0.578 0.578 0.265
Mg: 0.578 0.578 0.578
Co: 0.140 0.140 0.140
Co: 0.140 0.140 0.579
Co: 0.140 0.579 0.140
Co: 0.579 0.140 0.140

Computed properties:
crystal system	cubic
space group	F-43m (216)
calculated total energy	-4.846	eV/atom
M_tot	0.046	Bohr magnetons per cell

4.
Entry from OQMD: a relaxed structure of LaPr2Mg3Tl2In (PBE-GGA).

abc: 4.815 7.777 7.777
angles: 120.14 90.00 90.00
Positions (direct):
La: 0.000 0.000 0.000
Pr: 0.000 0.431 0.861
Pr: 0.000 0.861 0.431
Mg: 0.500 0.192 0.432
Mg: 0.500 0.432 0.192
Mg: 0.500 0.671 0.671
Tl: 0.500 0.099 0.764
Tl: 0.500 0.764 0.099
In: 0.000 0.433 0.433

Computed properties:
crystal system	orthorhombic
space group	Amm2 (38)
calculated total energy	-3.339	eV/atom
M_tot	0.006	Bohr magnetons per cell

5.
Entry from OQMD: a relaxed structure of RbLuOs (PBE-GGA).

abc: 6.909 6.909 6.909
angles: 90.00 90.00 90.00
Positions (direct):
Rb: 0.000 0.000 0.000
Rb: 0.000 0.500 0.500
Rb: 0.500 0.000 0.500
Rb: 0.500 0.500 0.000
Lu: 0.000 0.000 0.500
Lu: 0.000 0.500 0.000
Lu: 0.500 0.000 0.000
Lu: 0.500 0.500 0.500
Os: 0.250 0.250 0.750
Os: 0.250 0.750 0.250
Os: 0.750 0.250 0.250
Os: 0.750 0.750 0.750

Computed properties:
crystal system	cubic
space group	F-43m (216)
M_tot	0.001	Bohr magnetons per cell
energy above the most stable polymorph in this dataset	0.00	eV/f.u.

6.
Entry from OQMD: a relaxed structure of FeNiBW (PBE-GGA).

abc: 5.627 5.627 5.627
angles: 90.00 90.00 90.00
Positions (direct):
Fe: 0.000 0.000 0.000
Fe: 0.000 0.500 0.500
Fe: 0.500 0.000 0.500
Fe: 0.500 0.500 0.000
Ni: 0.000 0.000 0.500
Ni: 0.000 0.500 0.000
Ni: 0.500 0.000 0.000
Ni: 0.500 0.500 0.500
B: 0.250 0.250 0.750
B: 0.250 0.750 0.250
B: 0.750 0.250 0.250
B: 0.750 0.750 0.750
W: 0.250 0.250 0.250
W: 0.250 0.750 0.750
W: 0.750 0.250 0.750
W: 0.750 0.750 0.250

Computed properties:
crystal system	cubic
space group	F-43m (216)
M_tot	4.227	Bohr magnetons per cell
energy above the most stable polymorph in this dataset	0.63	eV/f.u.